## AsPRh4 (GGA-PBE)

Data for AsPRh4 after structural relaxation.

Cell: 7.264 7.264 7.264 Å, 90.00 90.00 90.00°
Space group F-43m (No. 216)
Inequivalent atoms, fractional coordinates:
As 0.000 0.000 0.000
P 0.250 0.250 0.750
Rh 0.125 0.125 0.375

Summary:
Energy = -6.079 eV/atom
N(E_F) = 1.326 states/eV/atom
Excess energy over the best structure of this formula in the dataset = 1104.8 meV per atom
ΔH_f (0 K) = 0.498 eV/atom

## CoSbP2Cl (GGA-PBE)

Data for CoSbP2Cl after structural relaxation.

Cell: 4.473 4.473 4.593 Å, 90.00 90.00 90.00°
Space group P4/mmm (No. 123)
Inequivalent atoms, fractional coordinates:
Co 0.000 0.000 0.000
Sb 0.500 0.500 0.500
P 0.000 0.500 0.000
Cl 0.000 0.000 0.500

Summary:
Energy = -4.424 eV/atom
N(E_F) = 1.048 states/eV/atom
Excess energy over the best structure of this formula in the dataset = 0.0 meV per atom
Formation energy from raw total energies = 0.355 eV/atom